No. 1
First-principles (PBE) data for a relaxed structure of TaAlAg, as listed in the Alexandria database. Values from VASP.

```
&SYSTEM
  ibrav = 0, nat = 3, ntyp = 3
/
ATOMIC_SPECIES
Ag 107.87 Ag.upf
Al 26.98 Al.upf
Ta 180.95 Ta.upf
ATOMIC_POSITIONS crystal
Ag 0.0000 0.0000 0.0000
Al 0.5000 0.5000 0.5000
Ta 0.7500 0.7500 0.7500
CELL_PARAMETERS angstrom
4.4696 0.0000 0.0000
2.2348 3.8708 0.0000
2.2348 1.2903 3.6494
```

Computed properties:
Energy of formation in meV/atom: 817.2
Polymorph energy (0 for the lowest one) in kJ/mol of atoms: 89.8
Mass density in g cm⁻³: 8.31
Volume in Å³ per atom: 21.05

***

No. 2
First-principles (PBE) data for a relaxed structure of TaAlAg2, as listed in the Alexandria database. Values from VASP.

```
&SYSTEM
  ibrav = 0, nat = 4, ntyp = 3
/
ATOMIC_SPECIES
Ta 180.95 Ta.upf
Ag 107.87 Ag.upf
Al 26.98 Al.upf
ATOMIC_POSITIONS crystal
Ta 0.7500 0.7500 0.7500
Ag 0.9957 0.9957 0.9957
Ag 0.5043 0.5043 0.5043
Al 0.2500 0.2500 0.2500
CELL_PARAMETERS angstrom
-3.3243 7.4129 -5.2826
-3.3798 5.3683 -7.3257
-5.6119 5.6600 -5.5117
```

Computed properties:
Energy of formation in meV/atom: 169.4
Polymorph energy (0 for the lowest one) in kJ/mol of atoms: 18.6
Mass density in g cm⁻³: 10.18
Volume in Å³ per atom: 17.27

***

No. 3
First-principles (PBE) data for a relaxed structure of TaAlAg4, as listed in the Alexandria database. Values from VASP.

```
&SYSTEM
  ibrav = 0, nat = 6, ntyp = 3
/
ATOMIC_SPECIES
Ag 107.87 Ag.upf
Ta 180.95 Ta.upf
Al 26.98 Al.upf
ATOMIC_POSITIONS crystal
Ag 0.8752 0.3749 0.3749
Ta 0.0000 0.0000 0.0000
Ag 0.3749 0.8752 0.3749
Al 0.7500 0.7500 0.7500
Ag 0.3749 0.3749 0.3749
Ag 0.3749 0.3749 0.8752
CELL_PARAMETERS angstrom
4.3273 -0.2464 3.1941
0.1462 -3.5241 4.0679
3.2867 -4.2575 -0.2434
```

Computed properties:
Energy of formation in meV/atom: 515.2
Mass density in g cm⁻³: 9.62
Volume in Å³ per atom: 18.39